First-principles (SCAN) data for a crystal of P2S3 relaxed with PBEsol, as listed in Alexandria.

Energy above the lowest structure with this stoichiometry   0 meV/atom

Lattice parameters (Å, degrees): 6.464 10.519 6.817 90.00 94.49 90.00
Space group P2_1/m (No. 11)
Inequivalent atoms, fractional coordinates:
P 0.180 0.250 0.416
P 0.270 0.611 0.719
P 0.302 0.750 0.467
S 0.005 0.750 0.334
S 0.053 0.089 0.263
S 0.387 0.750 0.927
S 0.418 0.050 0.741

First-principles (SCAN) data for a crystal of P4S9 relaxed with PBEsol, as listed in Alexandria.

Lattice parameters (Å, degrees): 8.871 12.305 13.259 90.00 114.80 90.00
Space group P2_1/c (No. 14)
Inequivalent atoms, fractional coordinates:
P 0.004 0.241 0.484
P 0.216 0.085 0.889
P 0.328 0.108 0.168
P 0.405 0.177 0.526
S 0.019 0.651 0.644
S 0.092 0.174 0.136
S 0.166 0.115 0.493
S 0.196 0.513 0.271
S 0.212 0.682 0.045
S 0.305 0.501 0.540
S 0.381 0.210 0.900
S 0.404 0.028 0.306
S 0.491 0.235 0.177

How do the records compare in energy relative to the elements, uncorrected? In the order shown, they have -201, -234 meV/atom.
How do the records compare in density of states at the Fermi level? In the order shown, they have 0.00, 0.00 states/eV/cell.